Entry 1:
Compound: AlSi2Ru
Source: Alexandria via LeMat-Bulk
Functional: GGA-PBE
Structure: optimized geometry

a b c (Å): 4.2535 3.0594 4.6665
angles (deg): 79.36 90.00 90.00
Atoms (fractional coordinates):
Ru1 0.5000 0.7500 0.7500
Si1 0.0000 0.6975 0.0106
Si2 0.0000 0.8025 0.4894
Al1 0.5000 0.2500 0.2500

Computed properties:
DFT total energy in eV per atom: -6.1494
Crystal system: monoclinic
Space-group type: No. 10

***

Entry 2:
Compound: LiNdInGe
Source: Alexandria via LeMat-Bulk
Functional: GGA-PBE
Structure: optimized geometry

a b c (Å): 5.1031 5.1031 5.1031
angles (deg): 60.00 60.00 60.00
Atoms (fractional coordinates):
Ge1 0.2500 0.2500 0.2500
Li1 0.0000 0.0000 0.0000
Nd1 0.5000 0.5000 0.5000
In1 0.7500 0.7500 0.7500

Computed properties:
Crystal system: cubic
ΔH_f (0 K) in meV/atom: -360.3
Space-group type: No. 216

***

Entry 3:
Compound: AlInAs2Br
Source: Alexandria via LeMat-Bulk
Functional: GGA-PBE
Structure: optimized geometry

a b c (Å): 4.9093 4.9093 5.4308
angles (deg): 90.00 90.00 90.00
Atoms (fractional coordinates):
As1 0.0000 0.5000 0.0000
As2 0.5000 0.0000 0.0000
Al1 0.0000 0.0000 0.0000
Br1 0.0000 0.0000 0.5000
In1 0.5000 0.5000 0.5000

Computed properties:
DFT total energy in eV per atom: -3.3537
Crystal system: tetragonal
Space-group type: No. 123